No. 1
Below is CoSi2Ru after structural relaxation, with properties calculated at the PBE level.

Structure (POSCAR):
```
CoSi2Ru
1.0
-0.524 2.698 -0.926
-0.893 -1.051 -2.556
-6.105 -1.391 -0.596
Si Co Ru
2 1 1
direct
0.000 0.984 0.016 Si
0.000 0.516 0.484 Si
0.500 0.250 0.250 Co
0.500 0.750 0.750 Ru
```

Computed properties:
- Spin magnetization: 0.00 Bohr magnetons per cell
- Formation energy (no corrections): -509.2 meV per atom

No. 2
Below is Hf2TiMnCr after structural relaxation, with properties calculated at the PBE level.

Structure (POSCAR):
```
Hf2TiMnCr
1.0
4.822 0.000 0.000
0.000 4.193 0.000
0.000 0.000 4.822
Ti Mn Cr Hf
1 1 1 2
direct
0.000 0.500 0.000 Ti
0.500 0.500 0.500 Mn
0.000 0.000 0.000 Cr
0.500 0.000 0.000 Hf
0.000 0.000 0.500 Hf
```

Computed properties:
- Spin magnetization: 0.03 Bohr magnetons per cell
- DFT formation energy: 0.98 eV/atom

No. 3
Below is Sr5TcH2N4 after structural relaxation, with properties calculated at the PBE level.

Structure (POSCAR):
```
Sr5TcH2N4
1.0
6.210 0.000 0.000
-3.105 4.970 0.000
0.000 0.000 7.499
N Tc Sr H
4 1 5 2
direct
0.383 0.308 0.000 N
0.599 0.000 0.193 N
0.599 0.000 0.807 N
0.075 0.692 0.000 N
0.406 0.000 0.000 Tc
0.442 0.000 0.500 Sr
0.083 0.360 0.769 Sr
0.723 0.640 0.769 Sr
0.723 0.640 0.231 Sr
0.083 0.360 0.231 Sr
0.880 0.471 0.500 H
0.409 0.529 0.500 H
```

Computed properties:
- Spin magnetization: 0.62 Bohr magnetons per cell

No. 4
Below is CoSiW2 after structural relaxation, with properties calculated at the PBE level.

Structure (POSCAR):
```
CoSiW2
1.0
-1.573 -0.714 2.204
0.500 -2.692 -0.586
5.646 0.160 4.081
W Co Si
2 1 1
direct
0.000 0.000 0.498 W
0.000 0.000 0.002 W
0.500 0.500 0.250 Co
0.500 0.500 0.750 Si
```

Computed properties:
- Spin magnetization: 0.00 Bohr magnetons per cell
- Formation energy (no corrections): 73.4 meV per atom

Values for E_tot, eV/atom, ordered as above
-7.316; -8.337; -5.376; -9.535
Values for calculated density, g/cm³, ordered as above
7.64; 8.72; 4.26; 13.82